Material: Ba3Pm2NdTe6
Method: DFT, PBE
State: relaxed

Results
Raw formation energy: -1.576 eV per atom
Total energy: -0.354 Ry/atom
D(E_F): 5.59 states/eV/f.u.

The structure in CIF format:
```
data_Ba3Pm2NdTe6
_chemical_formula_sum 'Ba6 Pm4 Nd2 Te12'
_cell_length_a 8.065
_cell_length_b 13.945
_cell_length_c 8.335
_cell_angle_alpha 90.00
_cell_angle_beta 108.80
_cell_angle_gamma 90.00
_space_group_name_H-M_alt 'C 1 2/m 1'
_space_group_IT_number 12
_space_group_name_Hall '-C 2y'
loop_
_atom_site_label
_atom_site_fract_x
_atom_site_fract_y
_atom_site_fract_z
_atom_site_occupancy
Ba1 0.000 0.000 0.000 1
Ba2 0.000 0.334 0.000 1
Pm1 0.000 0.167 0.500 1
Nd1 0.000 0.500 0.500 1
Te1 0.240 0.000 0.723 1
Te2 0.242 0.333 0.723 1
```

---

Material: Ba3Pm3NdTe8
Method: DFT, PBE
State: relaxed

Results
Raw formation energy: -1.572 eV per atom
Total energy: -0.360 Ry/atom
D(E_F): 4.32 states/eV/f.u.

The structure in CIF format:
```
data_Ba3Pm3NdTe8
_chemical_formula_sum 'Ba6 Pm6 Nd2 Te16'
_cell_length_a 15.870
_cell_length_b 9.167
_cell_length_c 9.606
_cell_angle_alpha 90.00
_cell_angle_beta 123.38
_cell_angle_gamma 90.00
_space_group_name_H-M_alt 'C 1 2/m 1'
_space_group_IT_number 12
_space_group_name_Hall '-C 2y'
loop_
_atom_site_label
_atom_site_fract_x
_atom_site_fract_y
_atom_site_fract_z
_atom_site_occupancy
Ba1 0.000 0.000 0.000 1
Ba2 0.250 0.250 0.000 1
Pm1 0.000 0.500 0.500 1
Pm2 0.250 0.250 0.500 1
Nd1 0.000 0.000 0.500 1
Te1 0.010 0.254 0.277 1
Te2 0.241 0.500 0.723 1
Te3 0.244 0.000 0.723 1
```

---

Material: BaPmNd2Tl4
Method: DFT, PBE
State: relaxed

Results
Total energy: -0.260 Ry/atom
D(E_F): 7.07 states/eV/f.u.
Energy of formation: -0.326 eV/atom

The structure in CIF format:
```
data_BaPmNd2Tl4
_chemical_formula_sum 'Ba3 Pm3 Nd6 Tl12'
_cell_length_a 5.6370
_cell_length_b 5.6370
_cell_length_c 27.8202
_cell_angle_alpha 90.00
_cell_angle_beta 90.00
_cell_angle_gamma 120.00
_space_group_name_H-M_alt 'R -3 m'
_space_group_IT_number 166
_space_group_name_Hall '-R 3 2"'
loop_
_atom_site_label
_atom_site_fract_x
_atom_site_fract_y
_atom_site_fract_z
_atom_site_occupancy
Ba1 0.0000 0.0000 0.0000 1
Pm1 0.0000 0.0000 0.5000 1
Nd1 0.0000 0.0000 0.2508 1
Tl1 0.0000 0.0000 0.1291 1
Tl2 0.0000 0.0000 0.3819 1
```

---

Material: BaPrNd2
Method: DFT, PBE
State: relaxed

Results
Total energy: -0.290 Ry/atom
D(E_F): 6.67 states/eV/f.u.
Energy of formation: 0.107 eV/atom
Polymorph energy (0 for the lowest one): 0.000 eV/atom

The structure in CIF format:
```
data_BaPrNd2
_chemical_formula_sum 'Ba1 Pr1 Nd2'
_cell_length_a 3.798
_cell_length_b 3.798
_cell_length_c 11.131
_cell_angle_alpha 90.00
_cell_angle_beta 90.00
_cell_angle_gamma 90.00
_space_group_name_H-M_alt 'P 4/m m m'
_space_group_IT_number 123
_space_group_name_Hall '-P 4 2'
loop_
_atom_site_label
_atom_site_fract_x
_atom_site_fract_y
_atom_site_fract_z
_atom_site_occupancy
Ba1 0.000 0.000 0.000 1
Pr1 0.000 0.000 0.500 1
Nd1 0.500 0.500 0.278 1
```

---

Material: BaPrNd2
Method: DFT, PBE
State: relaxed

Results
Total energy: -0.285 Ry/atom
D(E_F): 6.56 states/eV/f.u.
Energy of formation: 0.189 eV/atom
Polymorph energy (0 for the lowest one): 0.081 eV/atom

The structure in CIF format:
```
data_BaPrNd2
_chemical_formula_sum 'Ba3 Pr3 Nd6'
_cell_length_a 3.7292
_cell_length_b 3.7292
_cell_length_c 39.8214
_cell_angle_alpha 90.00
_cell_angle_beta 90.00
_cell_angle_gamma 120.00
_space_group_name_H-M_alt 'R -3 m'
_space_group_IT_number 166
_space_group_name_Hall '-R 3 2"'
loop_
_atom_site_label
_atom_site_fract_x
_atom_site_fract_y
_atom_site_fract_z
_atom_site_occupancy
Ba1 0.0000 0.0000 0.0000 1
Pr1 0.0000 0.0000 0.5000 1
Nd1 0.0000 0.0000 0.0925 1
```

---

Material: BaPrNd2
Method: DFT, PBE
State: relaxed

Results
Total energy: -0.289 Ry/atom
D(E_F): 6.36 states/eV/f.u.
Energy of formation: 0.122 eV/atom
Polymorph energy (0 for the lowest one): 0.015 eV/atom

The structure in CIF format:
```
data_BaPrNd2
_chemical_formula_sum 'Ba3 Pr3 Nd6'
_cell_length_a 3.8257
_cell_length_b 3.8257
_cell_length_c 37.8036
_cell_angle_alpha 90.00
_cell_angle_beta 90.00
_cell_angle_gamma 120.00
_space_group_name_H-M_alt 'R 3 m'
_space_group_IT_number 160
_space_group_name_Hall 'R 3 -2"'
loop_
_atom_site_label
_atom_site_fract_x
_atom_site_fract_y
_atom_site_fract_z
_atom_site_occupancy
Ba1 0.0000 0.0000 0.0000 1
Pr1 0.0000 0.0000 0.1664 1
Nd1 0.0000 0.0000 0.4226 1
Nd2 0.0000 0.0000 0.5776 1
```

---

Material: BaPrNd2
Method: DFT, PBE
State: relaxed

Results
Total energy: -0.285 Ry/atom
D(E_F): 7.21 states/eV/f.u.
Energy of formation: 0.181 eV/atom
Polymorph energy (0 for the lowest one): 0.074 eV/atom

The structure in CIF format:
```
data_BaPrNd2
_chemical_formula_sum 'Ba1 Pr1 Nd2'
_cell_length_a 5.411
_cell_length_b 5.411
_cell_length_c 5.386
_cell_angle_alpha 90.00
_cell_angle_beta 90.00
_cell_angle_gamma 90.00
_space_group_name_H-M_alt 'P 4/m m m'
_space_group_IT_number 123
_space_group_name_Hall '-P 4 2'
loop_
_atom_site_label
_atom_site_fract_x
_atom_site_fract_y
_atom_site_fract_z
_atom_site_occupancy
Ba1 0.000 0.000 0.000 1
Pr1 0.500 0.500 0.000 1
Nd1 0.000 0.500 0.500 1
```

---

Material: BaPr4Nd
Method: DFT, PBE
State: relaxed

Results
Total energy: -0.298 Ry/atom
D(E_F): 9.01 states/eV/f.u.
Energy of formation: 0.253 eV/atom

The structure in CIF format:
```
data_BaPr4Nd
_chemical_formula_sum 'Ba4 Pr16 Nd4'
_cell_length_a 9.893
_cell_length_b 9.893
_cell_length_c 9.893
_cell_angle_alpha 90.00
_cell_angle_beta 90.00
_cell_angle_gamma 90.00
_space_group_name_H-M_alt 'F -4 3 m'
_space_group_IT_number 216
_space_group_name_Hall 'F -4 2 3'
loop_
_atom_site_label
_atom_site_fract_x
_atom_site_fract_y
_atom_site_fract_z
_atom_site_occupancy
Ba1 0.000 0.000 0.000 1
Pr1 0.121 0.121 0.379 1
Nd1 0.250 0.250 0.750 1
```

---

Material: BaPrNd2S4
Method: DFT, PBE
State: relaxed

Results
Raw formation energy: -1.986 eV per atom
Total energy: -0.447 Ry/atom
D(E_F): 3.92 states/eV/f.u.

The structure in CIF format:
```
data_BaPrNd2S4
_chemical_formula_sum 'Ba4 Pr4 Nd8 S16'
_cell_length_a 8.318
_cell_length_b 8.426
_cell_length_c 11.836
_cell_angle_alpha 90.00
_cell_angle_beta 90.00
_cell_angle_gamma 90.00
_space_group_name_H-M_alt 'I m m a'
_space_group_IT_number 74
_space_group_name_Hall '-I 2b 2'
loop_
_atom_site_label
_atom_site_fract_x
_atom_site_fract_y
_atom_site_fract_z
_atom_site_occupancy
Ba1 0.250 0.250 0.250 1
Pr1 0.000 0.000 0.000 1
Nd1 0.000 0.000 0.500 1
Nd2 0.250 0.250 0.750 1
S1 0.000 0.018 0.749 1
S2 0.248 0.250 0.509 1
```

---

Material: BaPrNd4S8
Method: DFT, PBE
State: relaxed

Results
Raw formation energy: -1.952 eV per atom
Total energy: -0.452 Ry/atom
D(E_F): 3.31 states/eV/f.u.

The structure in CIF format:
```
data_BaPrNd4S8
_chemical_formula_sum 'Ba3 Pr3 Nd12 S24'
_cell_length_a 8.4986
_cell_length_b 8.4986
_cell_length_c 20.8867
_cell_angle_alpha 90.00
_cell_angle_beta 90.00
_cell_angle_gamma 120.00
_space_group_name_H-M_alt 'R 3 m'
_space_group_IT_number 160
_space_group_name_Hall 'R 3 -2"'
loop_
_atom_site_label
_atom_site_fract_x
_atom_site_fract_y
_atom_site_fract_z
_atom_site_occupancy
Ba1 0.0000 0.0000 0.0000 1
Pr1 0.0000 0.0000 0.6271 1
Nd1 0.0000 0.0000 0.2505 1
Nd2 0.1687 0.3375 0.4583 1
S1 0.0000 0.0000 0.3828 1
S2 0.0000 0.0000 0.8591 1
S3 0.0420 0.5210 0.3816 1
S4 0.1760 0.3520 0.2059 1
```

---

Material: Ba3Pr2NdSe6
Method: DFT, PBE
State: relaxed

Results
Raw formation energy: -1.919 eV per atom
Total energy: -0.392 Ry/atom
D(E_F): 4.89 states/eV/f.u.

The structure in CIF format:
```
data_Ba3Pr2NdSe6
_chemical_formula_sum 'Ba6 Pr4 Nd2 Se12'
_cell_length_a 7.641
_cell_length_b 13.220
_cell_length_c 7.878
_cell_angle_alpha 90.00
_cell_angle_beta 108.87
_cell_angle_gamma 90.00
_space_group_name_H-M_alt 'C 1 2/m 1'
_space_group_IT_number 12
_space_group_name_Hall '-C 2y'
loop_
_atom_site_label
_atom_site_fract_x
_atom_site_fract_y
_atom_site_fract_z
_atom_site_occupancy
Ba1 0.000 0.000 0.000 1
Ba2 0.000 0.333 0.000 1
Pr1 0.000 0.166 0.500 1
Nd1 0.000 0.500 0.500 1
Se1 0.240 0.334 0.724 1
Se2 0.243 0.000 0.725 1
```

---

What is the formula in the first record?
Ba3Pm2NdTe6

---

Among the records above, which one has the lowest total energy?
BaPrNd4S8

---

total energy of number 6 (BaPrNd2)?
-0.289 Ry/atom

---

What is the total energy in the ninth record?
-0.447 Ry/atom